No. 1
{
  "formula": "Na3SnI6",
  "functional": "GGA-PBE",
  "state": "relaxed",
  "lattice": [[7.813, 0.000, 0.000], [0.000, 8.396, 0.000], [-7.541, 0.000, 11.784]],
  "species": ["Na", "Na", "Na", "Na", "Na", "Na", "Sn", "Sn", "I", "I", "I", "I", "I", "I", "I", "I", "I", "I", "I", "I"],
  "fractional_positions": [[0.000, 0.000, 0.000], [0.000, 0.500, 0.500], [0.193, 0.101, 0.735], [0.193, 0.399, 0.235], [0.807, 0.601, 0.765], [0.807, 0.899, 0.265], [0.500, 0.000, 0.500], [0.500, 0.500, 0.000], [0.114, 0.181, 0.430], [0.114, 0.319, 0.930], [0.250, 0.693, 0.419], [0.250, 0.807, 0.919], [0.414, 0.060, 0.261], [0.414, 0.440, 0.761], [0.586, 0.560, 0.239], [0.586, 0.940, 0.739], [0.750, 0.193, 0.081], [0.750, 0.307, 0.581], [0.886, 0.681, 0.070], [0.886, 0.819, 0.570]],
  "magnetic_moment_mub_per_fu": 0.00,
  "space_group": "P2_1/c, No. 14"
}

=====

No. 2
{
  "formula": "NaSn2I",
  "functional": "GGA-PBE",
  "state": "relaxed",
  "lattice": [[-4.737, 4.737, 3.049], [4.737, -4.737, 3.049], [4.737, 4.737, -3.049]],
  "species": ["Na", "Na", "Sn", "Sn", "Sn", "Sn", "I", "I"],
  "fractional_positions": [[0.000, 0.000, 0.000], [0.750, 0.250, 0.500], [0.139, 0.625, 0.014], [0.375, 0.389, 0.514], [0.611, 0.125, 0.986], [0.875, 0.861, 0.486], [0.250, 0.750, 0.500], [0.500, 0.500, 0.000]],
  "magnetic_moment_mub_per_fu": 0.00,
  "space_group": "I-42d, No. 122"
}

=====

No. 3
{
  "formula": "Na2Sn3I8",
  "functional": "GGA-PBE",
  "state": "relaxed",
  "lattice": [[7.706, -4.592, 0.000], [7.706, 4.592, 0.000], [-0.910, 0.000, 7.996]],
  "species": ["Na", "Na", "Sn", "Sn", "Sn", "I", "I", "I", "I", "I", "I", "I", "I"],
  "fractional_positions": [[0.221, 0.221, 0.068], [0.779, 0.779, 0.932], [0.250, 0.750, 0.500], [0.500, 0.500, 0.000], [0.750, 0.250, 0.500], [0.120, 0.120, 0.385], [0.137, 0.614, 0.148], [0.379, 0.379, 0.650], [0.386, 0.863, 0.852], [0.614, 0.137, 0.148], [0.621, 0.621, 0.350], [0.863, 0.386, 0.852], [0.880, 0.880, 0.615]],
  "magnetic_moment_mub_per_fu": 0.00,
  "space_group": "C2/m, No. 12"
}

=====

Number 1: raw formation energy -0.851 eV per atom. Number 2: raw formation energy 0.043 eV per atom. Number 3: raw formation energy -0.719 eV per atom.